The following is a PBE-GGA calculation of a geometry-optimized Li4SnHgPd2 structure, from the Open Quantum Materials Database.

Unit cell a=4.5423 b=4.5423 c=6.2675 alpha=90.00 beta=90.00 gamma=90.00
With the nearest neighbours (Å) after each atom.
Element x y z (fractional)
Li1 0.5000 0.0000 0.7578  2 Hg 2.73, 4 Li 2.73-2.79, 2 Sn 2.79
Li2 0.5000 0.5000 0.5000  4 Pd 2.70, 4 Li 2.79
Pd1 0.5000 0.0000 0.2683  2 Sn 2.70, 4 Li 2.70-2.83, 2 Hg 2.83
Pd2 0.0000 0.5000 0.7317  4 Li 2.70-2.83, 2 Sn 2.70, 2 Hg 2.83
Hg1 0.5000 0.5000 0.0000  4 Li 2.73, 4 Pd 2.83
Li3 0.0000 0.5000 0.2422  4 Li 2.73-2.79, 2 Hg 2.73, 2 Sn 2.79
Li4 0.0000 0.0000 0.0000  4 Li 2.73, 4 Pd 2.83
Sn1 0.0000 0.0000 0.5000  4 Pd 2.70, 4 Li 2.79

Summary:
- E (eV/atom) = -3.286
- space group = No. 115

=====

The following is a PBE-GGA calculation of a geometry-optimized SmNiAs structure, from the Open Quantum Materials Database.

Unit cell a=4.1022 b=4.1018 c=3.9684 alpha=90.00 beta=90.00 gamma=120.00
With the nearest neighbours (Å) after each atom.
Element x y z (fractional)
Sm1 0.0000 0.0000 0.0000  6 Ni 3.09, 6 As 3.09
Ni1 0.3333 0.6667 0.5000  3 As 2.37
As1 0.6667 0.3333 0.5000  3 Ni 2.37

Summary:
- E (eV/atom) = -6.028
- total magnetic moment (Bohr magnetons per cell) = 0.002
- space group = No. 187

=====

The following is a PBE-GGA calculation of a geometry-optimized SmGdNi2Ge4 structure, from the Open Quantum Materials Database.

Unit cell a=4.2170 b=8.5852 c=8.5852 alpha=28.32 beta=90.00 gamma=90.00
With the nearest neighbours (Å) after each atom.
Element x y z (fractional)
Gd1 0.0000 0.1080 0.1080  10 Ge 3.15-3.26, 5 Ni 3.22-3.50
Ge1 0.5000 0.2504 0.2504  4 Ni 2.39
Sm1 0.5000 0.8923 0.8923  10 Ge 3.16-3.27, 5 Ni 3.22-3.51
Ni1 0.5000 0.6814 0.6814  5 Ge 2.31-2.39
Ge2 0.0000 0.4580 0.4580  1 Ni 2.32, 2 Ge 2.53
Ni2 0.0000 0.3184 0.3184  5 Ge 2.32-2.40
Ge3 0.0000 0.7492 0.7492  4 Ni 2.39-2.40
Ge4 0.5000 0.5425 0.5425  1 Ni 2.31, 2 Ge 2.53

Summary:
- E (eV/atom) = -5.607
- total magnetic moment (Bohr magnetons per cell) = 0.000
- space group = No. 38

=====

The following is a PBE-GGA calculation of a geometry-optimized Pr2B structure, from the Open Quantum Materials Database.

Unit cell a=6.1690 b=6.1690 c=6.1690 alpha=60.00 beta=60.00 gamma=60.00
With the nearest neighbours (Å) after each atom.
Element x y z (fractional)
Pr1 0.6250 0.6250 0.1250  6 Pr 3.08
B1 0.0000 0.0000 0.0000  12 Pr 3.62, 4 B 3.78
Pr2 0.6250 0.1250 0.6250  6 Pr 3.08
Pr3 0.6250 0.6250 0.6250  6 Pr 3.08
B2 0.2500 0.2500 0.2500  12 Pr 3.62, 4 B 3.78
Pr4 0.1250 0.6250 0.6250  6 Pr 3.08

Summary:
- E (eV/atom) = -3.803
- total magnetic moment (Bohr magnetons per cell) = 0.005
- space group = No. 227

=====

The following is a PBE-GGA calculation of a geometry-optimized Tb2DySn3Pt3 structure, from the Open Quantum Materials Database.

Unit cell a=4.0307 b=7.5244 c=7.5244 alpha=119.95 beta=90.00 gamma=90.00
With the nearest neighbours (Å) after each atom.
Element x y z (fractional)
Tb1 0.0000 0.0000 0.5937  5 Pt 3.05-3.06, 6 Sn 3.23-3.36
Sn1 0.5000 0.0003 0.2582  4 Pt 2.80-2.84
Pt1 0.5000 0.6659 0.3336  3 Sn 2.83-2.84, 2 Dy 3.04, 4 Tb 3.05
Dy1 0.0000 0.4060 0.4060  5 Pt 3.04-3.05, 6 Sn 3.23-3.35
Tb2 0.0000 0.5937 0.0000  5 Pt 3.05-3.06, 6 Sn 3.23-3.36
Sn2 0.5000 0.2582 0.0003  4 Pt 2.80-2.84
Pt2 0.5000 0.3336 0.6659  3 Sn 2.83-2.84, 2 Dy 3.04, 4 Tb 3.05
Sn3 0.5000 0.7417 0.7417  4 Pt 2.80-2.83
Pt3 0.0000 0.0006 0.0006  6 Sn 2.80, 1 Dy 3.05, 2 Tb 3.06

Summary:
- E (eV/atom) = -5.990
- total magnetic moment (Bohr magnetons per cell) = 0.002
- space group = No. 38

=====

The following is a PBE-GGA calculation of a geometry-optimized RbHf3Sn5 structure, from the Open Quantum Materials Database.

Unit cell a=6.0117 b=6.0117 c=7.7699 alpha=90.00 beta=90.00 gamma=120.00
With the nearest neighbours (Å) after each atom.
Element x y z (fractional)
Hf1 0.5000 0.5000 0.5000  6 Sn 2.99-3.01, 4 Hf 3.01
Sn1 0.3333 0.6667 0.1860  1 Sn 2.89, 3 Hf 2.99
Sn2 0.0000 0.0000 0.5000  6 Hf 3.01
Sn3 0.6667 0.3333 0.8140  1 Sn 2.89, 3 Hf 2.99
Hf2 0.0000 0.5000 0.5000  6 Sn 2.99-3.01, 4 Hf 3.01
Rb1 0.0000 0.0000 0.0000  14 Sn 3.76-3.88
Hf3 0.5000 0.0000 0.5000  6 Sn 2.99-3.01, 4 Hf 3.01
Sn4 0.6667 0.3333 0.1860  1 Sn 2.89, 3 Hf 2.99
Sn5 0.3333 0.6667 0.8140  1 Sn 2.89, 3 Hf 2.99

Summary:
- E (eV/atom) = -5.814
- total magnetic moment (Bohr magnetons per cell) = 0.005
- space group = No. 191

=====

The following is a PBE-GGA calculation of a geometry-optimized YB4Pd structure, from the Open Quantum Materials Database.

Unit cell a=4.9365 b=4.9365 c=4.9365 alpha=142.70 beta=114.53 gamma=77.84
With the nearest neighbours (Å) after each atom.
Element x y z (fractional)
Y1 0.0000 0.0000 0.0000  12 B 2.62-2.63
Pd1 0.5000 0.5000 0.0000  12 B 2.55-2.70
B1 0.4186 0.7429 0.6757  3 B 1.77-1.88
B2 0.0672 0.7429 0.3243  3 B 1.77-1.88
B3 0.9328 0.2571 0.6757  3 B 1.77-1.88
B4 0.5814 0.2571 0.3243  3 B 1.77-1.88

Summary:
- E (eV/atom) = -6.626
- total magnetic moment (Bohr magnetons per cell) = 0.000
- space group = No. 71

=====

The following is a PBE-GGA calculation of a geometry-optimized PrNi2BiAs structure, from the Open Quantum Materials Database.

Unit cell a=4.4491 b=4.4491 c=9.8460 alpha=90.00 beta=90.00 gamma=90.00
With the nearest neighbours (Å) after each atom.
Element x y z (fractional)
As1 0.0000 0.0000 0.5000  4 Ni 2.41
Bi1 0.5000 0.0000 0.1381  5 Ni 2.61-2.63
Pr1 0.0000 0.5000 0.2663  4 As 3.20, 9 Ni 3.24-3.44, 4 Bi 3.39
Pr2 0.5000 0.0000 0.7337  4 As 3.20, 9 Ni 3.24-3.44, 4 Bi 3.39
Ni1 0.0000 0.5000 0.5951  4 As 2.41, 1 Bi 2.63
Ni2 0.0000 0.0000 0.0000  4 Bi 2.61
Ni3 0.5000 0.0000 0.4049  4 As 2.41, 1 Bi 2.63
Bi2 0.0000 0.5000 0.8619  5 Ni 2.61-2.63
As2 0.5000 0.5000 0.5000  4 Ni 2.41
Ni4 0.5000 0.5000 0.0000  4 Bi 2.61

Summary:
- E (eV/atom) = -5.511
- total magnetic moment (Bohr magnetons per cell) = 0.005
- space group = No. 129

=====

The following is a PBE-GGA calculation of a geometry-optimized LaBMo structure, from the Open Quantum Materials Database.

Unit cell a=4.5017 b=4.5017 c=4.5017 alpha=60.00 beta=60.00 gamma=60.00
With the nearest neighbours (Å) after each atom.
Element x y z (fractional)
Mo1 0.7500 0.7500 0.7500  4 La 2.76
La1 0.0000 0.0000 0.0000  4 Mo 2.76, 4 B 2.76
B1 0.2500 0.2500 0.2500  4 La 2.76

Summary:
- E (eV/atom) = -5.577
- total magnetic moment (Bohr magnetons per cell) = 2.277
- space group = No. 216

=====

The following is a PBE-GGA calculation of a geometry-optimized SrAsPtAu structure, from the Open Quantum Materials Database.

Unit cell a=4.8952 b=4.8952 c=4.8952 alpha=60.00 beta=60.00 gamma=60.00
With the nearest neighbours (Å) after each atom.
Element x y z (fractional)
Pt1 0.5000 0.5000 0.5000  4 Au 3.00, 4 As 3.00
Au1 0.7500 0.7500 0.7500  4 Pt 3.00, 4 Sr 3.00
Sr1 0.0000 0.0000 0.0000  4 As 3.00, 4 Au 3.00
As1 0.2500 0.2500 0.2500  4 Pt 3.00, 4 Sr 3.00

Summary:
- E (eV/atom) = -4.230
- total magnetic moment (Bohr magnetons per cell) = 0.008
- space group = No. 216

=====

The following is a PBE-GGA calculation of a geometry-optimized MgTaAlCu structure, from the Open Quantum Materials Database.

Unit cell a=4.5058 b=4.5058 c=4.5058 alpha=60.00 beta=60.00 gamma=60.00
With the nearest neighbours (Å) after each atom.
Element x y z (fractional)
Al1 0.0000 0.0000 0.0000  4 Cu 2.76, 4 Ta 2.76
Mg1 0.5000 0.5000 0.5000  4 Ta 2.76, 4 Cu 2.76
Ta1 0.2500 0.2500 0.2500  4 Mg 2.76, 4 Al 2.76
Cu1 0.7500 0.7500 0.7500  4 Al 2.76, 4 Mg 2.76

Summary:
- E (eV/atom) = -4.915
- total magnetic moment (Bohr magnetons per cell) = 0.623
- space group = No. 216

=====

The following is a PBE-GGA calculation of a geometry-optimized Dy2Er2Lu3Te2Pd2 structure, from the Open Quantum Materials Database.

Unit cell a=9.3182 b=9.3182 c=9.3182 alpha=155.74 beta=67.32 gamma=118.29
With the nearest neighbours (Å) after each atom.
Element x y z (fractional)
Lu1 0.5563 0.3737 0.1827  2 Pd 2.81, 1 Te 3.13
Pd1 0.8028 0.0666 0.7362  2 Lu 2.81, 2 Er 2.85, 2 Dy 2.91
Te1 0.2343 0.2343 0.0000  4 Lu 3.13-3.20, 4 Er 3.16
Te2 0.8384 0.3384 0.5000  2 Er 3.09, 4 Dy 3.13, 1 Lu 3.24
Er1 0.2136 0.5831 0.6304  2 Pd 2.85, 3 Te 3.09-3.16
Dy1 0.8775 0.7340 0.1435  2 Pd 2.91, 2 Te 3.13
Er2 0.9527 0.5831 0.3696  2 Pd 2.85, 3 Te 3.09-3.16
Pd2 0.3303 0.0666 0.2638  2 Lu 2.81, 2 Er 2.85, 2 Dy 2.91
Lu2 0.1910 0.3737 0.8173  2 Pd 2.81, 1 Te 3.13
Dy2 0.5904 0.7340 0.8565  2 Pd 2.91, 2 Te 3.13
Lu3 0.4993 0.9993 0.5000  3 Te 3.20-3.24

Summary:
- E (eV/atom) = -5.258
- total magnetic moment (Bohr magnetons per cell) = 0.016
- space group = No. 44